The following is a DFT calculation (GGA-PBE) of an optimized crystal structure of ScIn4Os.

The total magnetic moment is 1.7 μB/cell. As for the symmetry: F-43m (216). The calculation puts the calculated total energy at -4.147 eV/atom. The formation energy from the elements is 605 meV/atom.

a b c (Å): 5.7227 5.7227 5.7227
angles (deg): 60.00 60.00 60.00
Fractional coordinates of all 6 atoms:
Sc1 0.0000 0.0000 0.0000
In1 0.1253 0.6249 0.6249
In2 0.6249 0.1253 0.6249
In3 0.6249 0.6249 0.1253
In4 0.6249 0.6249 0.6249
Os1 0.2500 0.2500 0.2500


The following is a DFT calculation (GGA-PBE) of an optimized crystal structure of ScIn2Os.

The total magnetic moment is 0.0 μB/cell. As for the symmetry: Fm-3m (225). The calculation puts the calculated total energy at -5.817 eV/atom. The formation energy from the elements is -58 meV/atom.

a b c (Å): 4.7260 4.7260 4.7260
angles (deg): 60.00 60.00 60.00
Fractional coordinates of all 4 atoms:
Sc1 0.0000 0.0000 0.0000
In1 0.2500 0.2500 0.2500
In2 0.7500 0.7500 0.7500
Os1 0.5000 0.5000 0.5000


The following is a DFT calculation (GGA-PBE) of an optimized crystal structure of ScIn2Os.

The total magnetic moment is 0.0 μB/cell. As for the symmetry: R-3m (166). The calculation puts the calculated total energy at -5.508 eV/atom. The formation energy from the elements is 252 meV/atom.

a b c (Å): 9.5248 9.5248 9.5248
angles (deg): 19.14 19.14 19.14
Fractional coordinates of all 4 atoms:
Sc1 0.0000 0.0000 0.0000
In1 0.2422 0.2422 0.2422
In2 0.7578 0.7578 0.7578
Os1 0.5000 0.5000 0.5000


The following is a DFT calculation (GGA-PBE) of an optimized crystal structure of ScIn2Os.

The total magnetic moment is 0.0 μB/cell. As for the symmetry: Immm (71). The calculation puts the calculated total energy at -5.709 eV/atom. The formation energy from the elements is 51 meV/atom.

a b c (Å): 5.7037 5.7037 5.7037
angles (deg): 146.35 128.38 63.04
Fractional coordinates of all 4 atoms:
Sc1 0.0000 0.0000 0.0000
In1 0.2707 0.7707 0.5000
In2 0.7293 0.2293 0.5000
Os1 0.5000 0.5000 0.0000


The following is a DFT calculation (GGA-PBE) of an optimized crystal structure of ScInOs.

The total magnetic moment is 0.0 μB/cell. As for the symmetry: P3m1 (156). The calculation puts the calculated total energy at -6.803 eV/atom. The formation energy from the elements is -37 meV/atom.

a b c (Å): 4.5963 4.5963 3.0243
angles (deg): 90.00 90.00 120.00
Fractional coordinates of all 3 atoms:
Sc1 0.0000 0.0000 0.0000
In1 0.6667 0.3333 0.4255
Os1 0.3333 0.6667 0.7260


The following is a DFT calculation (GGA-PBE) of an optimized crystal structure of Sc12In3Os.

The total magnetic moment is 2.9 μB/cell. As for the symmetry: P4/mmm (123). The calculation puts the calculated total energy at -6.218 eV/atom. The formation energy from the elements is -254 meV/atom.

a b c (Å): 4.5124 4.5124 17.5071
angles (deg): 90.00 90.00 90.00
Fractional coordinates of all 16 atoms:
Sc1 0.0000 0.0000 0.0000
Sc2 0.0000 0.0000 0.2406
Sc3 0.0000 0.0000 0.5000
Sc4 0.0000 0.0000 0.7594
Sc5 0.0000 0.5000 0.1057
Sc6 0.0000 0.5000 0.3701
Sc7 0.0000 0.5000 0.6299
Sc8 0.0000 0.5000 0.8943
Sc9 0.5000 0.0000 0.1057
Sc10 0.5000 0.0000 0.3701
Sc11 0.5000 0.0000 0.6299
Sc12 0.5000 0.0000 0.8943
In1 0.5000 0.5000 0.2425
In2 0.5000 0.5000 0.5000
In3 0.5000 0.5000 0.7575
Os1 0.5000 0.5000 0.0000


Question: Which of these has the highest total magnetic moment?
Answer: Sc12In3Os